(1)
Here is an optimized crystal structure of MgAl8Ga6 from Alexandria. Energies are from PBE-GGA.

abc: 8.028 8.028 8.028
angles: 50.33 50.33 50.33
Sites, in units of the cell vectors:
Mg 0.000 0.000 0.000
Al 0.147 0.827 0.635
Al 0.173 0.365 0.853
Al 0.365 0.853 0.173
Al 0.370 0.370 0.370
Al 0.630 0.630 0.630
Al 0.635 0.147 0.827
Al 0.827 0.635 0.147
Al 0.853 0.173 0.365
Ga 0.005 0.285 0.500
Ga 0.285 0.500 0.005
Ga 0.500 0.005 0.285
Ga 0.500 0.995 0.715
Ga 0.715 0.500 0.995
Ga 0.995 0.715 0.500

Properties
The total energy comes out at -3.2271 eV per atom. Its density is 3.9 g cm⁻³. The calculated formation energy comes out at 86 meV/atom.

---

(2)
Here is an optimized crystal structure of Mg2AlGa10 from Alexandria. Energies are from PBE-GGA.

abc: 6.072 17.528 5.791
angles: 90.00 90.00 90.00
Sites, in units of the cell vectors:
Mg 0.243 0.026 0.000
Mg 0.257 0.526 0.000
Mg 0.743 0.474 0.000
Mg 0.757 0.974 0.000
Al 0.000 0.500 0.500
Al 0.500 0.000 0.500
Ga 0.089 0.376 0.215
Ga 0.089 0.376 0.785
Ga 0.099 0.936 0.500
Ga 0.180 0.785 0.500
Ga 0.245 0.642 0.500
Ga 0.255 0.142 0.500
Ga 0.320 0.285 0.500
Ga 0.401 0.436 0.500
Ga 0.411 0.876 0.215
Ga 0.411 0.876 0.785
Ga 0.589 0.124 0.215
Ga 0.589 0.124 0.785
Ga 0.599 0.564 0.500
Ga 0.680 0.715 0.500
Ga 0.745 0.858 0.500
Ga 0.755 0.358 0.500
Ga 0.820 0.215 0.500
Ga 0.901 0.064 0.500
Ga 0.911 0.624 0.215
Ga 0.911 0.624 0.785

Properties
The total energy comes out at -2.7554 eV per atom. Its density is 4.2 g cm⁻³. The calculated formation energy comes out at 106 meV/atom.

---

(3)
Here is an optimized crystal structure of MgAl3Ga from Alexandria. Energies are from PBE-GGA.

abc: 5.112 5.112 5.112
angles: 90.00 90.00 90.00
Sites, in units of the cell vectors:
Mg 0.000 0.000 0.000
Al 0.000 0.000 0.500
Al 0.000 0.500 0.000
Al 0.500 0.000 0.000
Ga 0.500 0.500 0.500

Properties
The total energy comes out at -2.3077 eV per atom. Its density is 2.2 g cm⁻³. The value obtained for the energy above the most stable polymorph in this dataset is 0.848 eV/atom. The calculated formation energy comes out at 862 meV/atom.

---

(4)
Here is an optimized crystal structure of Mg5AlGa from Alexandria. Energies are from PBE-GGA.

abc: 5.626 5.626 9.998
angles: 101.76 101.76 93.96
Sites, in units of the cell vectors:
Mg 0.012 0.392 0.842
Mg 0.143 0.857 0.750
Mg 0.238 0.547 0.468
Mg 0.392 0.012 0.342
Mg 0.453 0.762 0.032
Mg 0.547 0.238 0.968
Mg 0.608 0.988 0.658
Mg 0.762 0.453 0.532
Mg 0.857 0.143 0.250
Mg 0.988 0.608 0.158
Al 0.495 0.505 0.750
Al 0.505 0.495 0.250
Ga 0.000 0.000 0.000
Ga 0.000 0.000 0.500

Properties
The total energy comes out at -2.0818 eV per atom. Its density is 2.4 g cm⁻³. The calculated formation energy comes out at 24 meV/atom.

---

(5)
Here is an optimized crystal structure of MgAl2Ga9 from Alexandria. Energies are from PBE-GGA.

abc: 4.178 4.178 12.384
angles: 90.00 90.00 90.00
Sites, in units of the cell vectors:
Mg 0.000 0.000 0.000
Al 0.000 0.000 0.334
Al 0.000 0.000 0.666
Ga 0.000 0.500 0.173
Ga 0.000 0.500 0.500
Ga 0.000 0.500 0.827
Ga 0.500 0.000 0.173
Ga 0.500 0.000 0.500
Ga 0.500 0.000 0.827
Ga 0.500 0.500 0.000
Ga 0.500 0.500 0.333
Ga 0.500 0.500 0.667

Properties
The total energy comes out at -3.0391 eV per atom. Its density is 5.4 g cm⁻³. The value obtained for the energy above the most stable polymorph in this dataset is 0.000 eV/atom. The calculated formation energy comes out at -12 meV/atom.

---

(6)
Here is an optimized crystal structure of MgAlGa from Alexandria. Energies are from PBE-GGA.

abc: 4.857 4.857 5.744
angles: 100.97 100.97 61.19
Sites, in units of the cell vectors:
Mg 0.151 0.151 0.352
Mg 0.849 0.849 0.648
Al 0.210 0.210 0.867
Al 0.790 0.790 0.133
Ga 0.478 0.478 0.246
Ga 0.522 0.522 0.754

Properties
The total energy comes out at -2.7754 eV per atom. Its density is 3.5 g cm⁻³. The calculated formation energy comes out at 13 meV/atom.

---

(7)
Here is an optimized crystal structure of MgAlGa6 from Alexandria. Energies are from PBE-GGA.

abc: 4.162 4.162 8.384
angles: 90.00 90.00 90.00
Sites, in units of the cell vectors:
Mg 0.000 0.000 0.000
Al 0.000 0.000 0.500
Ga 0.000 0.500 0.257
Ga 0.000 0.500 0.743
Ga 0.500 0.000 0.257
Ga 0.500 0.000 0.743
Ga 0.500 0.500 0.000
Ga 0.500 0.500 0.500

Properties
The total energy comes out at -2.9671 eV per atom. Its density is 5.4 g cm⁻³. The value obtained for the energy above the most stable polymorph in this dataset is 0.000 eV/atom. The calculated formation energy comes out at -30 meV/atom.

---

(8)
Here is an optimized crystal structure of Mg5AlGa2 from Alexandria. Energies are from PBE-GGA.

abc: 4.712 4.712 18.033
angles: 90.00 90.00 120.00
Sites, in units of the cell vectors:
Mg 0.000 0.000 0.159
Mg 0.000 0.000 0.341
Mg 0.000 0.000 0.659
Mg 0.000 0.000 0.841
Mg 0.333 0.667 0.053
Mg 0.333 0.667 0.250
Mg 0.333 0.667 0.447
Mg 0.667 0.333 0.553
Mg 0.667 0.333 0.750
Mg 0.667 0.333 0.947
Al 0.333 0.667 0.750
Al 0.667 0.333 0.250
Ga 0.333 0.667 0.603
Ga 0.333 0.667 0.897
Ga 0.667 0.333 0.103
Ga 0.667 0.333 0.397

Properties
The total energy comes out at -2.2751 eV per atom. Its density is 2.8 g cm⁻³. The value obtained for the energy above the most stable polymorph in this dataset is 0.000 eV/atom. The calculated formation energy comes out at -54 meV/atom.

---

(9)
Here is an optimized crystal structure of Mg12Al2Ga5 from Alexandria. Energies are from PBE-GGA.

abc: 8.125 8.125 9.109
angles: 98.74 98.74 46.66
Sites, in units of the cell vectors:
Mg 0.035 0.035 0.306
Mg 0.051 0.558 0.865
Mg 0.105 0.624 0.390
Mg 0.376 0.895 0.610
Mg 0.442 0.949 0.135
Mg 0.460 0.460 0.767
Mg 0.540 0.540 0.233
Mg 0.558 0.051 0.865
Mg 0.624 0.105 0.390
Mg 0.895 0.376 0.610
Mg 0.949 0.442 0.135
Mg 0.965 0.965 0.694
Al 0.208 0.792 0.000
Al 0.792 0.208 0.000
Ga 0.139 0.139 0.874
Ga 0.219 0.219 0.410
Ga 0.500 0.500 0.500
Ga 0.781 0.781 0.590
Ga 0.861 0.861 0.126

Properties
The total energy comes out at -2.1692 eV per atom. Its density is 2.7 g cm⁻³. The calculated formation energy comes out at 28 meV/atom.

---

(10)
Here is an optimized crystal structure of MgAlGa from Alexandria. Energies are from PBE-GGA.

abc: 5.149 5.149 5.149
angles: 139.31 139.31 58.90
Sites, in units of the cell vectors:
Mg 0.000 0.000 0.000
Al 0.678 0.678 0.000
Ga 0.325 0.325 0.000

Properties
The total energy comes out at -2.7831 eV per atom. Its density is 3.5 g cm⁻³. The calculated formation energy comes out at 5 meV/atom.

---

(11)
Here is an optimized crystal structure of Mg2AlGa6 from Alexandria. Energies are from PBE-GGA.

abc: 7.403 7.403 3.901
angles: 104.36 104.36 67.18
Sites, in units of the cell vectors:
Mg 0.144 0.144 0.145
Mg 0.856 0.856 0.855
Al 0.500 0.500 0.500
Ga 0.102 0.559 0.331
Ga 0.278 0.722 0.000
Ga 0.441 0.898 0.669
Ga 0.559 0.102 0.331
Ga 0.722 0.278 0.000
Ga 0.898 0.441 0.669

Properties
The total energy comes out at -2.7688 eV per atom. Its density is 4.4 g cm⁻³. The value obtained for the energy above the most stable polymorph in this dataset is 0.044 eV/atom. The calculated formation energy comes out at 19 meV/atom.

---

(12)
Here is an optimized crystal structure of Mg2Al15Ga2 from Alexandria. Energies are from PBE-GGA.

abc: 7.178 7.178 7.178
angles: 81.71 81.71 81.71
Sites, in units of the cell vectors:
Mg 0.106 0.106 0.106
Mg 0.894 0.894 0.894
Al 0.000 0.000 0.500
Al 0.000 0.300 0.700
Al 0.000 0.500 0.000
Al 0.000 0.700 0.300
Al 0.154 0.643 0.643
Al 0.300 0.000 0.700
Al 0.300 0.700 0.000
Al 0.357 0.357 0.846
Al 0.357 0.846 0.357
Al 0.500 0.000 0.000
Al 0.643 0.154 0.643
Al 0.643 0.643 0.154
Al 0.700 0.000 0.300
Al 0.700 0.300 0.000
Al 0.846 0.357 0.357
Ga 0.383 0.383 0.383
Ga 0.617 0.617 0.617

Properties
The total energy comes out at -3.3348 eV per atom. Its density is 2.7 g cm⁻³. The calculated formation energy comes out at 106 meV/atom.

---

(13)
Here is an optimized crystal structure of Mg2AlGa3 from Alexandria. Energies are from PBE-GGA.

abc: 11.579 11.579 6.669
angles: 90.00 90.00 164.26
Sites, in units of the cell vectors:
Mg 0.019 0.981 0.750
Mg 0.165 0.835 0.250
Mg 0.835 0.165 0.750
Mg 0.981 0.019 0.250
Al 0.358 0.642 0.250
Al 0.642 0.358 0.750
Ga 0.235 0.765 0.750
Ga 0.428 0.572 0.556
Ga 0.428 0.572 0.944
Ga 0.572 0.428 0.056
Ga 0.572 0.428 0.444
Ga 0.765 0.235 0.250

Properties
The total energy comes out at -2.6776 eV per atom. Its density is 3.9 g cm⁻³. The value obtained for the energy above the most stable polymorph in this dataset is 0.000 eV/atom. The calculated formation energy comes out at -9 meV/atom.

---

(14)
Here is an optimized crystal structure of Mg3Al7Ga4 from Alexandria. Energies are from PBE-GGA.

abc: 8.145 8.145 9.585
angles: 121.25 121.25 29.16
Sites, in units of the cell vectors:
Mg 0.000 0.000 0.000
Mg 0.319 0.319 0.313
Mg 0.681 0.681 0.687
Al 0.000 0.000 0.500
Al 0.169 0.169 0.441
Al 0.305 0.305 0.978
Al 0.478 0.478 0.682
Al 0.522 0.522 0.318
Al 0.695 0.695 0.022
Al 0.831 0.831 0.559
Ga 0.105 0.105 0.829
Ga 0.338 0.338 0.747
Ga 0.662 0.662 0.253
Ga 0.895 0.895 0.171

Properties
The total energy comes out at -3.0945 eV per atom. Its density is 3.4 g cm⁻³. The calculated formation energy comes out at -17 meV/atom.

---

(15)
Here is an optimized crystal structure of MgAl2Ga7 from Alexandria. Energies are from PBE-GGA.

abc: 8.665 8.665 3.195
angles: 90.00 90.00 122.09
Sites, in units of the cell vectors:
Mg 0.000 0.000 0.000
Al 0.319 0.681 0.500
Al 0.681 0.319 0.500
Ga 0.124 0.325 0.500
Ga 0.182 0.818 0.000
Ga 0.325 0.124 0.500
Ga 0.500 0.500 0.500
Ga 0.675 0.876 0.500
Ga 0.818 0.182 0.000
Ga 0.876 0.675 0.500

Properties
The total energy comes out at -2.9589 eV per atom. Its density is 4.6 g cm⁻³. The calculated formation energy comes out at 68 meV/atom.

---

(16)
Here is an optimized crystal structure of Mg6AlGa10 from Alexandria. Energies are from PBE-GGA.

abc: 8.328 8.328 5.532
angles: 90.00 90.00 120.00
Sites, in units of the cell vectors:
Mg 0.000 0.365 0.319
Mg 0.000 0.635 0.681
Mg 0.365 0.000 0.319
Mg 0.365 0.365 0.681
Mg 0.635 0.000 0.681
Mg 0.635 0.635 0.319
Al 0.000 0.000 0.500
Ga 0.000 0.272 0.831
Ga 0.000 0.728 0.169
Ga 0.272 0.000 0.831
Ga 0.272 0.272 0.169
Ga 0.333 0.667 0.000
Ga 0.333 0.667 0.500
Ga 0.667 0.333 0.000
Ga 0.667 0.333 0.500
Ga 0.728 0.000 0.169
Ga 0.728 0.728 0.831

Properties
The total energy comes out at -2.6132 eV per atom. Its density is 4.3 g cm⁻³. The calculated formation energy comes out at -50 meV/atom.

---

(17)
Here is an optimized crystal structure of MgAlGa from Alexandria. Energies are from PBE-GGA.

abc: 7.101 4.051 7.858
angles: 90.00 90.00 90.00
Sites, in units of the cell vectors:
Mg 0.036 0.250 0.166
Mg 0.464 0.750 0.666
Mg 0.536 0.250 0.334
Mg 0.964 0.750 0.834
Al 0.130 0.250 0.558
Al 0.370 0.750 0.058
Al 0.630 0.250 0.942
Al 0.870 0.750 0.442
Ga 0.243 0.750 0.370
Ga 0.257 0.250 0.870
Ga 0.743 0.750 0.130
Ga 0.757 0.250 0.630

Properties
The total energy comes out at -2.8900 eV per atom. Its density is 3.6 g cm⁻³. The calculated formation energy comes out at -102 meV/atom.

---

(18)
Here is an optimized crystal structure of Mg3Al2Ga4 from Alexandria. Energies are from PBE-GGA.

abc: 5.734 5.734 8.163
angles: 108.90 108.90 44.43
Sites, in units of the cell vectors:
Mg 0.000 0.000 0.000
Mg 0.377 0.377 0.303
Mg 0.623 0.623 0.697
Al 0.313 0.313 0.636
Al 0.687 0.687 0.364
Ga 0.061 0.061 0.384
Ga 0.281 0.281 0.933
Ga 0.719 0.719 0.067
Ga 0.939 0.939 0.616

Properties
The total energy comes out at -2.7622 eV per atom. Its density is 3.8 g cm⁻³. The calculated formation energy comes out at -54 meV/atom.

---

(19)
Here is an optimized crystal structure of MgAl2Ga9 from Alexandria. Energies are from PBE-GGA.

abc: 9.286 9.286 3.023
angles: 90.00 90.00 120.00
Sites, in units of the cell vectors:
Mg 0.000 0.000 0.000
Al 0.333 0.667 0.000
Al 0.667 0.333 0.000
Ga 0.000 0.500 0.000
Ga 0.178 0.355 0.500
Ga 0.178 0.822 0.500
Ga 0.355 0.178 0.500
Ga 0.500 0.000 0.000
Ga 0.500 0.500 0.000
Ga 0.645 0.822 0.500
Ga 0.822 0.178 0.500
Ga 0.822 0.645 0.500

Properties
The total energy comes out at -3.0126 eV per atom. Its density is 5.2 g cm⁻³. The value obtained for the energy above the most stable polymorph in this dataset is 0.026 eV/atom. The calculated formation energy comes out at 14 meV/atom.

---

(20)
Here is an optimized crystal structure of Mg2Al6Ga3 from Alexandria. Energies are from PBE-GGA.

abc: 7.710 7.710 4.177
angles: 90.00 90.00 120.00
Sites, in units of the cell vectors:
Mg 0.333 0.667 0.000
Mg 0.667 0.333 0.000
Al 0.000 0.265 0.500
Al 0.000 0.796 0.000
Al 0.204 0.204 0.000
Al 0.265 0.000 0.500
Al 0.735 0.735 0.500
Al 0.796 0.000 0.000
Ga 0.000 0.593 0.500
Ga 0.407 0.407 0.500
Ga 0.593 0.000 0.500

Properties
The total energy comes out at -3.1174 eV per atom. Its density is 3.2 g cm⁻³. The calculated formation energy comes out at 39 meV/atom.